Ni2Pd5Au2: optimized geometry, PBE. Values from VASP.

```
&SYSTEM
  ibrav = 0, nat = 9, ntyp = 3
/
ATOMIC_SPECIES
Ni 58.69 Ni.upf
Pd 106.42 Pd.upf
Au 196.97 Au.upf
CELL_PARAMETERS angstrom
4.836 0.000 0.000
0.806 4.777 0.000
1.424 0.376 5.910
ATOMIC_POSITIONS crystal
Ni 0.111 0.204 0.058
Ni 0.889 0.796 0.942
Pd 0.000 0.000 0.500
Pd 0.315 0.664 0.155
Pd 0.451 0.898 0.733
Pd 0.549 0.102 0.267
Pd 0.685 0.336 0.845
Au 0.223 0.450 0.628
Au 0.777 0.550 0.372
```

Space-group type: P-1 (2)
Density of states at the Fermi level (states/eV/cell): 14.09
Energy relative to the elements (meV/atom): 23



CuNi6Sb: optimized geometry, PBE. Values from VASP.

```
&SYSTEM
  ibrav = 0, nat = 32, ntyp = 3
/
ATOMIC_SPECIES
Cu 63.55 Cu.upf
Ni 58.69 Ni.upf
Sb 121.76 Sb.upf
CELL_PARAMETERS angstrom
3.636 -5.144 0.000
3.636 5.144 0.000
0.000 0.000 10.308
ATOMIC_POSITIONS crystal
Cu 0.000 0.000 0.244
Cu 0.000 0.000 0.756
Cu 0.251 0.749 0.000
Cu 0.749 0.251 0.000
Ni 0.000 0.000 0.000
Ni 0.000 0.000 0.500
Ni 0.117 0.372 0.120
Ni 0.117 0.372 0.880
Ni 0.122 0.368 0.371
Ni 0.122 0.368 0.629
Ni 0.246 0.754 0.243
Ni 0.246 0.754 0.757
Ni 0.368 0.122 0.371
Ni 0.368 0.122 0.629
Ni 0.372 0.117 0.120
Ni 0.372 0.117 0.880
Ni 0.500 0.500 0.000
Ni 0.500 0.500 0.500
Ni 0.628 0.883 0.120
Ni 0.628 0.883 0.880
Ni 0.632 0.878 0.371
Ni 0.632 0.878 0.629
Ni 0.754 0.246 0.243
Ni 0.754 0.246 0.757
Ni 0.878 0.632 0.371
Ni 0.878 0.632 0.629
Ni 0.883 0.628 0.120
Ni 0.883 0.628 0.880
Sb 0.251 0.749 0.500
Sb 0.500 0.500 0.243
Sb 0.500 0.500 0.757
Sb 0.749 0.251 0.500
```

Space-group type: Cmmm (65)
Raw formation energy (eV per atom): -0.04
Polymorph energy (0 for the lowest one) (meV/atom): 3
Density of states at the Fermi level (states/eV/cell): 39.72



KLa2Re: optimized geometry, PBE. Values from VASP.

```
&SYSTEM
  ibrav = 0, nat = 4, ntyp = 3
/
ATOMIC_SPECIES
K 39.10 K.upf
La 138.91 La.upf
Re 186.21 Re.upf
CELL_PARAMETERS angstrom
0.000 3.772 3.772
3.772 0.000 3.772
3.772 3.772 0.000
ATOMIC_POSITIONS crystal
K 0.000 0.000 0.000
La 0.250 0.250 0.250
La 0.750 0.750 0.750
Re 0.500 0.500 0.500
```

Space-group type: Fm-3m (225)
Polymorph energy (0 for the lowest one) (meV/atom): 426
Density of states at the Fermi level (states/eV/cell): 3.22
Energy relative to the elements (meV/atom): 675



no.,final energy (eV/f.u.)
1,-43.87
2,-43.25
3,-20.70